Record 1
Material: ZrInTc
Method: DFT, PBEsol
State: relaxed

```
3
Lattice="3.4299 0.0000 0.0000 0.0000 3.4299 0.0000 -1.7150 -1.7150 4.6977" Properties=species:S:1:pos:R:3 pbc="T T T"
Tc 1.7150 1.7150 1.6536
Zr 0.0000 0.0000 2.9761
In 0.0000 0.0000 0.0679
```

Computed properties:
For the raw total energy, the calculation gives -24.0 eV per formula unit. Its space group is I4mm (107). The calculated formation energy is -0.232 eV/atom. The excess energy over the best structure of this formula in the dataset comes out at 0 meV per atom.

---

Record 2
Material: Zr3InTc
Method: DFT, PBEsol
State: relaxed

```
5
Lattice="-2.7418 4.1041 -0.2028 -2.9350 -2.1266 -3.3564 -2.8759 -1.7424 3.6188" Properties=species:S:1:pos:R:3 pbc="T T T"
Tc 0.0000 0.0000 0.0000
Zr -1.4675 -1.0633 -1.6782
Zr -1.4379 -0.8712 1.8094
Zr -1.3709 2.0521 -0.1014
In -4.2763 0.1176 0.0298
```

Computed properties:
For the raw total energy, the calculation gives -39.9 eV per formula unit. Its space group is Pm-3m (221). The calculated formation energy is 0.320 eV/atom.

---

Record 3
Material: ZrInTc
Method: DFT, PBEsol
State: relaxed

```
3
Lattice="-4.5137 -0.4087 -0.2629 -1.9001 -1.8613 -3.6789 -1.9273 -4.1015 0.2695" Properties=species:S:1:pos:R:3 pbc="T T T"
In 0.0000 0.0000 0.0000
Tc -4.1705 -3.1858 -1.8362
Zr -2.0853 -1.5929 -0.9181
```

Computed properties:
For the raw total energy, the calculation gives -21.0 eV per formula unit. Its space group is F-43m (216). The calculated formation energy is 0.767 eV/atom. The excess energy over the best structure of this formula in the dataset comes out at 999 meV per atom.

---

Record 4
Material: ZrInTc4
Method: DFT, PBEsol
State: relaxed

```
6
Lattice="5.1770 0.0000 0.0000 2.5885 4.4834 0.0000 2.5885 1.4945 4.2270" Properties=species:S:1:pos:R:3 pbc="T T T"
Tc 3.8749 2.2372 1.5819
Tc 5.1770 2.9889 3.7082
Tc 6.4791 2.2372 1.5819
Tc 5.1770 4.4925 1.5819
Zr 7.7655 4.4834 3.1703
In 0.0000 0.0000 0.0000
```

Computed properties:
For the raw total energy, the calculation gives -57.6 eV per formula unit. Its space group is F-43m (216). The calculated formation energy is -0.077 eV/atom.

---

Record 5
Material: In3Te2
Method: DFT, PBEsol
State: relaxed

```
5
Lattice="-1.2084 -3.2501 2.5554 2.2228 -0.8597 3.5880 -5.0644 4.3473 6.7645" Properties=species:S:1:pos:R:3 pbc="T T T"
Te -0.4471 -1.5511 5.0764
Te -3.6029 1.7886 7.8317
In 0.0000 0.0000 0.0000
In -1.8028 0.8957 3.9170
In -2.2472 -0.6582 8.9911
```

Computed properties:
For the raw total energy, the calculation gives -17.2 eV per formula unit. Its space group is R-3m (166). For the formation energy (no corrections), the calculation gives -114 kJ/mol of formula units.

---

Record 6
Material: InTe3
Method: DFT, PBEsol
State: relaxed

```
4
Lattice="-1.4478 -2.8185 2.6375 3.2792 -2.4138 -0.7794 3.5356 3.1051 5.2590" Properties=species:S:1:pos:R:3 pbc="T T T"
In 0.0312 0.0274 0.0464
Te 3.5073 0.4334 2.3884
Te 1.4100 -2.1821 1.6643
Te 1.5971 0.6291 4.7711
```

Computed properties:
For the raw total energy, the calculation gives -13.6 eV per formula unit. Its space group is Pmm2 (25). For the formation energy (no corrections), the calculation gives -5 kJ/mol of formula units.

---

Record 7
Material: In2Te
Method: DFT, PBEsol
State: relaxed

```
3
Lattice="-5.0453 -0.7639 -1.3765 -3.4945 -1.6777 3.5927 -3.7481 3.2777 1.7725" Properties=species:S:1:pos:R:3 pbc="T T T"
In -9.2160 0.6271 2.9915
In -3.0720 0.2090 0.9972
Te 0.0000 0.0000 0.0000
```

Computed properties:
For the raw total energy, the calculation gives -9.4 eV per formula unit. Its space group is Fm-3m (225). For the formation energy (no corrections), the calculation gives 7 kJ/mol of formula units.

---

Record 8
Material: InTe3
Method: DFT, PBEsol
State: relaxed

```
8
Lattice="4.5275 0.0000 0.0000 0.0000 6.3345 0.0000 0.0000 0.0000 8.0678" Properties=species:S:1:pos:R:3 pbc="T T T"
In 0.0000 0.0000 5.0299
In 2.2637 3.1672 3.0379
Te 2.2637 0.0000 3.0853
Te 0.0000 3.1672 4.9825
Te 0.0000 4.7435 0.9984
Te 0.0000 1.5910 0.9984
Te 2.2637 1.5762 7.0694
Te 2.2637 4.7582 7.0694
```

Computed properties:
For the raw total energy, the calculation gives -13.6 eV per formula unit. Its space group is Pmmn (59). For the formation energy (no corrections), the calculation gives -1 kJ/mol of formula units.

---

Record 9
Material: InTe2
Method: DFT, PBEsol
State: relaxed

```
3
Lattice="-0.3501 -3.6469 0.7349 2.5598 -0.7718 -2.6104 3.0298 2.6058 4.8749" Properties=species:S:1:pos:R:3 pbc="T T T"
In 0.0000 0.0000 0.0000
Te 2.4145 -2.0837 0.3093
Te 2.8250 0.2709 2.6901
```

Computed properties:
For the raw total energy, the calculation gives -10.0 eV per formula unit. Its space group is I4/mmm (139). For the formation energy (no corrections), the calculation gives 4 kJ/mol of formula units. The excess energy over the best structure of this formula in the dataset comes out at 205 meV per atom.

---

Record 10
Material: InTe2
Method: DFT, PBEsol
State: relaxed

```
6
Lattice="-2.2860 0.0135 3.6513 -3.2253 -4.8154 -2.0015 5.6038 -4.1618 0.9825" Properties=species:S:1:pos:R:3 pbc="T T T"
Te -0.7763 -5.1417 -0.4670
Te 1.9620 -7.6922 1.2568
Te -1.8695 -1.2715 1.3755
Te 0.8688 -3.8220 3.0993
In -0.5702 -6.3916 2.2079
In 0.6627 -2.5721 0.4244
```

Computed properties:
For the raw total energy, the calculation gives -10.6 eV per formula unit. Its space group is Cmcm (63). For the formation energy (no corrections), the calculation gives -55 kJ/mol of formula units. The excess energy over the best structure of this formula in the dataset comes out at 0 meV per atom.

---

Record 11
Material: In2Te
Method: DFT, PBEsol
State: relaxed

```
6
Lattice="4.3339 0.0000 0.0000 0.0000 6.2541 0.0000 -2.1670 0.0000 6.4578" Properties=species:S:1:pos:R:3 pbc="T T T"
Te 0.0000 4.6906 4.2037
Te 2.1670 1.5635 2.2541
In 2.1670 4.6906 2.0303
In 2.1670 4.6906 6.3127
In 0.0000 1.5635 0.1450
In 0.0000 1.5635 4.4274
```

Computed properties:
For the raw total energy, the calculation gives -10.0 eV per formula unit. Its space group is Cmcm (63). For the formation energy (no corrections), the calculation gives -46 kJ/mol of formula units.

---

Record 12
Material: In2Te
Method: DFT, PBEsol
State: relaxed

```
3
Lattice="-4.1555 0.8749 -0.3780 1.6955 -3.2653 -2.1539 -1.1042 -3.3958 4.2788" Properties=species:S:1:pos:R:3 pbc="T T T"
Te 0.0000 0.0000 0.0000
In -0.6201 -3.0087 -0.1464
In -2.9440 -2.7775 1.8932
```

Computed properties:
For the raw total energy, the calculation gives -10.0 eV per formula unit. Its space group is P-3m1 (164). For the formation energy (no corrections), the calculation gives -52 kJ/mol of formula units.